VASP calculation (PBE) on crystalline SiPSe at its relaxed geometry.

Calculated values
SG = No. 156
formation energy from raw total energies = 12 kJ/mol of formula units

Lattice parameters (Å, degrees): 3.604 3.604 4.741 90.00 90.00 120.00
Fractional positions:
Si 0.000 0.000 0.000
P 0.333 0.667 0.238
Se 0.667 0.333 0.671



VASP calculation (PBE) on crystalline Ce2YRh2 at its relaxed geometry.

Calculated values
SG = No. 127
formation energy = -0.63 eV/atom

Lattice parameters (Å, degrees): 7.788 7.788 3.833 90.00 90.00 90.00
Fractional positions:
Ce 0.164 0.336 0.000
Ce 0.336 0.836 0.000
Ce 0.664 0.164 0.000
Ce 0.836 0.664 0.000
Y 0.000 0.000 0.500
Y 0.500 0.500 0.500
Rh 0.140 0.640 0.500
Rh 0.360 0.140 0.500
Rh 0.640 0.860 0.500
Rh 0.860 0.360 0.500



VASP calculation (PBE) on crystalline CuSiTc2H at its relaxed geometry.

Calculated values
SG = No. 123

Lattice parameters (Å, degrees): 4.122 4.122 3.254 90.00 90.00 90.00
Fractional positions:
Cu 0.000 0.000 0.000
Si 0.500 0.500 0.000
Tc 0.000 0.500 0.500
Tc 0.500 0.000 0.500
H 0.000 0.000 0.500



VASP calculation (PBE) on crystalline La2ZnTc at its relaxed geometry.

Calculated values
SG = No. 12
formation energy = 0.02 eV/atom

Lattice parameters (Å, degrees): 7.240 7.242 3.708 90.00 90.24 90.00
Fractional positions:
La 0.250 0.250 0.000
La 0.250 0.750 0.000
La 0.750 0.250 0.000
La 0.750 0.750 0.000
Zn 0.000 0.000 0.500
Zn 0.500 0.500 0.500
Tc 0.000 0.500 0.500
Tc 0.500 0.000 0.500



VASP calculation (PBE) on crystalline Ac2GaO6 at its relaxed geometry.

Calculated values
SG = No. 12
formation energy from raw total energies = -1723 kJ/mol of formula units

Lattice parameters (Å, degrees): 6.301 6.301 4.087 98.98 98.98 56.41
Fractional positions:
Ac 0.166 0.166 0.202
Ac 0.834 0.834 0.798
Ga 0.500 0.500 0.500
O 0.136 0.599 0.332
O 0.280 0.720 0.000
O 0.401 0.864 0.668
O 0.599 0.136 0.332
O 0.720 0.280 0.000
O 0.864 0.401 0.668



VASP calculation (PBE) on crystalline Er5AgRu4 at its relaxed geometry.

Calculated values
SG = No. 123
formation energy = -0.43 eV/atom

Lattice parameters (Å, degrees): 3.387 3.387 17.436 90.00 90.00 90.00
Fractional positions:
Er 0.000 0.000 0.000
Er 0.000 0.000 0.191
Er 0.000 0.000 0.382
Er 0.000 0.000 0.618
Er 0.000 0.000 0.809
Ag 0.500 0.500 0.500
Ru 0.500 0.500 0.096
Ru 0.500 0.500 0.293
Ru 0.500 0.500 0.707
Ru 0.500 0.500 0.904



VASP calculation (PBE) on crystalline ZrV3Tc at its relaxed geometry.

Calculated values
SG = No. 221
formation energy = 0.78 eV/atom

Lattice parameters (Å, degrees): 4.541 4.541 4.541 90.00 90.00 90.00
Fractional positions:
Zr 0.000 0.000 0.000
V 0.000 0.500 0.500
V 0.500 0.000 0.500
V 0.500 0.500 0.000
Tc 0.500 0.500 0.500



VASP calculation (PBE) on crystalline Li2YNiH at its relaxed geometry.

Calculated values
SG = No. 123

Lattice parameters (Å, degrees): 3.805 3.805 4.963 90.00 90.00 90.00
Fractional positions:
Li 0.000 0.500 0.000
Li 0.500 0.000 0.000
Y 0.000 0.000 0.500
Ni 0.500 0.500 0.500
H 0.000 0.000 0.000



VASP calculation (PBE) on crystalline LiNpTl2Te4 at its relaxed geometry.

Calculated values
SG = No. 10
formation energy from raw total energies = -391 kJ/mol of formula units

Lattice parameters (Å, degrees): 7.494 4.449 8.368 90.00 107.56 90.00
Fractional positions:
Li 0.000 0.000 0.000
Np 0.500 0.500 0.000
Tl 0.000 0.500 0.500
Tl 0.500 0.000 0.500
Te 0.246 0.500 0.209
Te 0.266 0.000 0.790
Te 0.734 0.000 0.210
Te 0.754 0.500 0.791



VASP calculation (PBE) on crystalline Rb4Nd3MnTe8 at its relaxed geometry.

Calculated values
SG = No. 166
formation energy from raw total energies = -1743 kJ/mol of formula units

Lattice parameters (Å, degrees): 10.053 10.053 10.053 54.00 54.00 54.00
Fractional positions:
Rb 0.000 0.000 0.000
Rb 0.000 0.500 0.500
Rb 0.500 0.000 0.500
Rb 0.500 0.500 0.000
Nd 0.000 0.000 0.500
Nd 0.000 0.500 0.000
Nd 0.500 0.000 0.000
Mn 0.500 0.500 0.500
Te 0.236 0.236 0.236
Te 0.255 0.720 0.720
Te 0.280 0.280 0.745
Te 0.280 0.745 0.280
Te 0.720 0.255 0.720
Te 0.720 0.720 0.255
Te 0.745 0.280 0.280
Te 0.764 0.764 0.764



VASP calculation (PBE) on crystalline NbVSn at its relaxed geometry.

Calculated values
SG = No. 107
formation energy = -0.09 eV/atom

Lattice parameters (Å, degrees): 3.428 3.428 9.069 90.00 90.00 90.00
Fractional positions:
Nb 0.000 0.000 0.000
Nb 0.500 0.500 0.500
V 0.000 0.000 0.358
V 0.500 0.500 0.858
Sn 0.000 0.000 0.683
Sn 0.500 0.500 0.183



VASP calculation (PBE) on crystalline Sr2ZnTeN at its relaxed geometry.

Calculated values
SG = No. 123
formation energy from raw total energies = -390 kJ/mol of formula units

Lattice parameters (Å, degrees): 5.435 5.435 4.174 90.00 90.00 90.00
Fractional positions:
Sr 0.000 0.500 0.000
Sr 0.500 0.000 0.000
Zn 0.000 0.000 0.500
Te 0.500 0.500 0.500
N 0.000 0.000 0.000



Taking the records one at a time from the top gives uncorrected energy values of -4.7294; -7.2349; -6.6732; -5.3582; -6.5387; -6.7055; -8.4766; -4.0995; -4.5259; -4.4091; -7.8194; -4.0303 eV/atom.